Density functional theory data (PBE-GGA) for crystalline SrZr4PaN8 at its relaxed geometry.

Properties
ΔE_f (raw)	-18.24	eV per formula unit
total magnetic moment	0.0	μB per formula unit
symmetry	R3m
energy	-9.301	eV per atom
volume	15.4	Å³ per atom

Cell lengths 6.815, 6.815, 6.815 Å; angles 58.48, 58.48, 58.48 degrees
Sites, in units of the cell vectors:
1 Sr 0.000 0.000 0.000
2 Zr 0.115 0.631 0.631
3 Zr 0.251 0.251 0.251
4 Zr 0.631 0.115 0.631
5 Zr 0.631 0.631 0.115
6 Pa 0.628 0.628 0.628
7 N 0.381 0.381 0.381
8 N 0.382 0.382 0.857
9 N 0.382 0.857 0.382
10 N 0.440 0.857 0.857
11 N 0.856 0.856 0.856
12 N 0.857 0.382 0.382
13 N 0.857 0.440 0.857
14 N 0.857 0.857 0.440

***

Density functional theory data (PBE-GGA) for crystalline Cs at its relaxed geometry.

Properties
formation energy from the elements	12	meV/atom
total magnetic moment	0.0	μB per formula unit
symmetry	P4_132
energy	-0.842	eV per atom
volume	117.3	Å³ per atom

Cell lengths 13.287, 13.287, 13.287 Å; angles 90.00, 90.00, 90.00 degrees
Sites, in units of the cell vectors:
1 Cs 0.047 0.125 0.797
2 Cs 0.062 0.938 0.438
3 Cs 0.125 0.797 0.047
4 Cs 0.188 0.188 0.188
5 Cs 0.203 0.547 0.375
6 Cs 0.297 0.453 0.875
7 Cs 0.312 0.812 0.688
8 Cs 0.375 0.203 0.547
9 Cs 0.438 0.062 0.938
10 Cs 0.453 0.875 0.297
11 Cs 0.547 0.375 0.203
12 Cs 0.562 0.562 0.562
13 Cs 0.625 0.703 0.953
14 Cs 0.688 0.312 0.812
15 Cs 0.703 0.953 0.625
16 Cs 0.797 0.047 0.125
17 Cs 0.812 0.688 0.312
18 Cs 0.875 0.297 0.453
19 Cs 0.938 0.438 0.062
20 Cs 0.953 0.625 0.703

***

Density functional theory data (PBE-GGA) for crystalline Dy2PaOs2 at its relaxed geometry.

Properties
formation energy from the elements	-350	meV/atom
total magnetic moment	0.0	μB per formula unit
symmetry	C2/c
energy	-8.582	eV per atom
volume	22.9	Å³ per atom

Cell lengths 5.767, 5.767, 8.062 Å; angles 100.07, 100.07, 60.76 degrees
Sites, in units of the cell vectors:
1 Dy 0.013 0.286 0.150
2 Dy 0.286 0.013 0.650
3 Dy 0.714 0.987 0.350
4 Dy 0.987 0.714 0.850
5 Pa 0.359 0.641 0.250
6 Pa 0.641 0.359 0.750
7 Os 0.229 0.502 0.492
8 Os 0.498 0.771 0.008
9 Os 0.502 0.229 0.992
10 Os 0.771 0.498 0.508

***

Copy entry 2 word for word.
Density functional theory data (PBE-GGA) for crystalline Cs at its relaxed geometry.

Properties
formation energy from the elements	12	meV/atom
total magnetic moment	0.0	μB per formula unit
symmetry	P4_132
energy	-0.842	eV per atom
volume	117.3	Å³ per atom

Cell lengths 13.287, 13.287, 13.287 Å; angles 90.00, 90.00, 90.00 degrees
Sites, in units of the cell vectors:
1 Cs 0.047 0.125 0.797
2 Cs 0.062 0.938 0.438
3 Cs 0.125 0.797 0.047
4 Cs 0.188 0.188 0.188
5 Cs 0.203 0.547 0.375
6 Cs 0.297 0.453 0.875
7 Cs 0.312 0.812 0.688
8 Cs 0.375 0.203 0.547
9 Cs 0.438 0.062 0.938
10 Cs 0.453 0.875 0.297
11 Cs 0.547 0.375 0.203
12 Cs 0.562 0.562 0.562
13 Cs 0.625 0.703 0.953
14 Cs 0.688 0.312 0.812
15 Cs 0.703 0.953 0.625
16 Cs 0.797 0.047 0.125
17 Cs 0.812 0.688 0.312
18 Cs 0.875 0.297 0.453
19 Cs 0.938 0.438 0.062
20 Cs 0.953 0.625 0.703

***

Among the records above, which one has the lowest volume?
SrZr4PaN8

***

Look up the total magnetic moment of the second one.
0.0 μB per formula unit

***

Which of these has the highest energy?
Cs